[1]
The following is a DFT calculation (GGA-PBEsol) of a relaxed structure of AlCo3.

a = 4.4706 Å, b = 4.4706 Å, c = 4.4706 Å
α = 90.00°, β = 90.00°, γ = 90.00°
Last column: nearest neighbours and their distance in Å.
Space group Pm-3n (No. 223)
Asymmetric unit:
Al  0.0000  0.0000  0.0000 x2  12 Co 2.50
Co  0.0000  0.2500  0.5000 x6  2 Co 2.24, 4 Al 2.50

Properties
* formation enthalpy at 0 K: -0.43 eV/f.u.
* volume: 89.4 Å³ per cell
* N(E_F): 5.49 states/eV/f.u.


[2]
The following is a DFT calculation (GGA-PBEsol) of a relaxed structure of LaPt2Rh.

a = 4.1867 Å, b = 4.1867 Å, c = 8.1065 Å
α = 90.00°, β = 90.00°, γ = 90.00°
Last column: nearest neighbours and their distance in Å.
Space group I-4m2 (No. 119)
Asymmetric unit:
La  0.0000  0.0000  0.0000 x2  4 Rh 2.91, 8 Pt 2.91-2.96
Pt  0.0000  0.0000  0.5000 x2  4 Rh 2.91, 4 Pt 2.91, 4 La 2.96
Pt  0.0000  0.5000  0.2500 x2  4 La 2.91, 4 Pt 2.91, 4 Rh 2.96
Rh  0.0000  0.5000  0.7500 x2  4 La 2.91, 8 Pt 2.91-2.96

Properties
* formation enthalpy at 0 K: -1.98 eV/f.u.
* volume: 142.1 Å³ per cell
* N(E_F): 3.67 states/eV/f.u.


[3]
The following is a DFT calculation (GGA-PBEsol) of a relaxed structure of CaMg3Cu2.

a = 4.5796 Å, b = 4.5796 Å, c = 13.1693 Å
α = 90.00°, β = 90.00°, γ = 120.00°
Last column: nearest neighbours and their distance in Å.
Space group P6_3/mmc (No. 194)
Asymmetric unit:
Ca  0.0000  0.0000  0.2500 x2  6 Cu 3.20, 8 Mg 3.29-3.35
Mg  0.0000  0.0000  0.0000 x2  6 Mg 2.92, 6 Cu 3.03
Mg  0.3333  0.6667  0.0937 x4  4 Cu 2.66-2.72, 3 Mg 2.92
Cu  0.3333  0.6667  0.6131 x4  4 Mg 2.66-2.72

Properties
* formation enthalpy at 0 K: -0.12 eV/f.u.
* volume: 239.2 Å³ per cell
* N(E_F): 2.85 states/eV/f.u.